! IrAuS2, relaxed, DFT GGA-PBE; values from VASP
&SYSTEM
  ibrav = 0, nat = 4, ntyp = 3
/
ATOMIC_SPECIES
Ir 192.22 Ir.upf
Au 196.97 Au.upf
S 32.06 S.upf
CELL_PARAMETERS angstrom
1.9374 1.1186 6.3144
-1.9374 1.1186 6.3144
0.0000 -2.2371 6.3144
ATOMIC_POSITIONS crystal
Ir 0.0000 0.0000 0.0000
Au 0.5149 0.5149 0.5149
S 0.1180 0.1180 0.1180
S 0.6395 0.6395 0.6395
! volume: 20.5 Å³ per atom
! formation energy without anion corrections: 0.160 eV per atom

---

! IrAuS2, relaxed, DFT GGA-PBE; values from VASP
&SYSTEM
  ibrav = 0, nat = 8, ntyp = 3
/
ATOMIC_SPECIES
Ir 192.22 Ir.upf
Au 196.97 Au.upf
S 32.06 S.upf
CELL_PARAMETERS angstrom
3.5873 0.0000 0.0000
1.0294 5.3903 0.0000
1.3769 0.4784 8.1875
ATOMIC_POSITIONS crystal
Ir 0.1388 0.2521 0.0806
Ir 0.8612 0.7479 0.9194
Au 0.5000 0.0000 0.5000
Au 0.5000 0.5000 0.5000
S 0.2701 0.8059 0.1017
S 0.4331 0.7283 0.7347
S 0.5669 0.2717 0.2653
S 0.7299 0.1941 0.8983
! volume: 19.8 Å³ per atom
! formation energy without anion corrections: -0.103 eV per atom

---

! IrAuS2, relaxed, DFT GGA-PBE; values from VASP
&SYSTEM
  ibrav = 0, nat = 8, ntyp = 3
/
ATOMIC_SPECIES
Ir 192.22 Ir.upf
Au 196.97 Au.upf
S 32.06 S.upf
CELL_PARAMETERS angstrom
2.5809 -6.2113 0.0000
2.5809 6.2113 0.0000
-0.1606 0.0000 5.2923
ATOMIC_POSITIONS crystal
Ir 0.0249 0.9751 0.7500
Ir 0.9751 0.0249 0.2500
Au 0.2741 0.7259 0.2500
Au 0.7259 0.2741 0.7500
S 0.1101 0.3443 0.5471
S 0.3443 0.1101 0.0471
S 0.6557 0.8899 0.9529
S 0.8899 0.6557 0.4529
! volume: 21.2 Å³ per atom
! formation energy without anion corrections: 0.102 eV per atom

---

! Ir2AuS, relaxed, DFT GGA-PBE; values from VASP
&SYSTEM
  ibrav = 0, nat = 8, ntyp = 3
/
ATOMIC_SPECIES
Ir 192.22 Ir.upf
Au 196.97 Au.upf
S 32.06 S.upf
CELL_PARAMETERS angstrom
-3.4196 3.4196 2.7746
3.4196 -3.4196 2.7746
3.4196 3.4196 -2.7746
ATOMIC_POSITIONS crystal
Ir 0.0610 0.6250 0.9360
Ir 0.3750 0.3110 0.4360
Ir 0.6890 0.1250 0.0640
Ir 0.8750 0.9390 0.5640
Au 0.2500 0.7500 0.5000
Au 0.5000 0.5000 0.0000
S 0.0000 0.0000 0.0000
S 0.7500 0.2500 0.5000
! volume: 16.2 Å³ per atom
! formation energy without anion corrections: 0.432 eV per atom

---

! IrAuS2, relaxed, DFT GGA-PBE; values from VASP
&SYSTEM
  ibrav = 0, nat = 4, ntyp = 3
/
ATOMIC_SPECIES
Ir 192.22 Ir.upf
Au 196.97 Au.upf
S 32.06 S.upf
CELL_PARAMETERS angstrom
3.5220 0.0000 0.0000
-1.7610 3.0502 0.0000
0.0000 0.0000 6.9659
ATOMIC_POSITIONS crystal
Ir 0.0000 0.0000 0.0000
Au 0.3333 0.6667 0.4979
S 0.3333 0.6667 0.8358
S 0.6667 0.3333 0.1936
! volume: 18.7 Å³ per atom
! formation energy without anion corrections: -0.087 eV per atom

---

! IrAuS2, relaxed, DFT GGA-PBE; values from VASP
&SYSTEM
  ibrav = 0, nat = 16, ntyp = 3
/
ATOMIC_SPECIES
Ir 192.22 Ir.upf
Au 196.97 Au.upf
S 32.06 S.upf
CELL_PARAMETERS angstrom
6.5687 0.0000 0.0000
0.0000 7.9987 0.0000
0.0000 0.0000 5.8190
ATOMIC_POSITIONS crystal
Ir 0.0761 0.0794 0.0000
Ir 0.4239 0.5794 0.5000
Ir 0.5761 0.4206 0.0000
Ir 0.9239 0.9206 0.5000
Au 0.0530 0.4156 0.5632
Au 0.4470 0.9156 0.0632
Au 0.5530 0.0844 0.5632
Au 0.9470 0.5844 0.0632
S 0.1272 0.7042 0.6140
S 0.1480 0.1283 0.6204
S 0.3520 0.6283 0.1204
S 0.3728 0.2042 0.1140
S 0.6272 0.7958 0.6140
S 0.6480 0.3717 0.6204
S 0.8520 0.8717 0.1204
S 0.8728 0.2958 0.1140
! volume: 19.1 Å³ per atom
! formation energy without anion corrections: 0.038 eV per atom

---

! IrAuS2, relaxed, DFT GGA-PBE; values from VASP
&SYSTEM
  ibrav = 0, nat = 8, ntyp = 3
/
ATOMIC_SPECIES
Ir 192.22 Ir.upf
Au 196.97 Au.upf
S 32.06 S.upf
CELL_PARAMETERS angstrom
3.5836 0.0000 0.0000
0.5878 7.7652 0.0000
1.5080 2.4819 7.3603
ATOMIC_POSITIONS crystal
Ir 0.1911 0.3278 0.0240
Ir 0.8089 0.6722 0.9760
Au 0.5000 0.0000 0.0000
Au 0.5000 0.0000 0.5000
S 0.2379 0.5461 0.1720
S 0.3570 0.8494 0.8083
S 0.6430 0.1506 0.1917
S 0.7621 0.4539 0.8280
! volume: 25.6 Å³ per atom
! formation energy without anion corrections: -0.111 eV per atom

---

! IrAuS2, relaxed, DFT GGA-PBE; values from VASP
&SYSTEM
  ibrav = 0, nat = 16, ntyp = 3
/
ATOMIC_SPECIES
Ir 192.22 Ir.upf
Au 196.97 Au.upf
S 32.06 S.upf
CELL_PARAMETERS angstrom
9.7966 0.0000 0.0000
0.0000 4.8511 0.0000
-0.3404 0.0000 6.5964
ATOMIC_POSITIONS crystal
Ir 0.1691 0.0878 0.4578
Ir 0.1691 0.4122 0.9578
Ir 0.8309 0.5878 0.0422
Ir 0.8309 0.9122 0.5422
Au 0.0569 0.5783 0.3175
Au 0.0569 0.9217 0.8175
Au 0.9431 0.0783 0.1825
Au 0.9431 0.4217 0.6825
S 0.2972 0.1311 0.1729
S 0.2972 0.3689 0.6729
S 0.3335 0.7438 0.5429
S 0.3335 0.7562 0.0429
S 0.6665 0.2438 0.9571
S 0.6665 0.2562 0.4571
S 0.7028 0.6311 0.3271
S 0.7028 0.8689 0.8271
! volume: 19.6 Å³ per atom
! formation energy without anion corrections: 0.120 eV per atom